Record 1
Nd4GaSbS9: optimized geometry, PBE.

Output
Crystal system: orthorhombic

a b c (Å): 13.8378 14.2198 14.5095
angles (deg): 90.00 90.00 90.00
Space group Aea2 (No. 41)
Asymmetric unit:
Nd  0.1002  0.1736  0.0000
Nd  0.1047  0.1114  0.5518
Nd  0.1821  0.1663  0.2825
Nd  0.1862  0.3915  0.5101
Ga  0.0925  0.3957  0.7718
Sb  0.1130  0.4202  0.2351
S  0.0000  0.0000  0.3603
S  0.0000  0.0000  0.9970
S  0.0056  0.1943  0.1789
S  0.0694  0.2536  0.4243
S  0.0802  0.0914  0.7480
S  0.1002  0.4095  0.0647
S  0.1889  0.3039  0.8667
S  0.2003  0.4865  0.6869
S  0.2474  0.0586  0.9300
S  0.2467  0.2344  0.6158

***

Record 2
TbTmIn4: optimized geometry, PBE.

Output
Crystal system: orthorhombic

a b c (Å): 4.6339 4.5971 14.1658
angles (deg): 90.00 90.00 90.00
Space group Amm2 (No. 38)
Asymmetric unit:
Tb  0.0000  0.0000  0.0000
Tm  0.0000  0.0000  0.3103
In  0.0000  0.0000  0.6563
In  0.5000  0.0000  0.1565
In  0.5000  0.0000  0.4792
In  0.5000  0.0000  0.8300

***

Record 3
BaZrNO: optimized geometry, PBE.

Output
Crystal system: tetragonal
Energy above the most stable polymorph in this dataset in eV per atom: 0.376

a b c (Å): 4.6900 4.6900 6.7115
angles (deg): 90.00 90.00 90.00
Space group P4/nmm (No. 129, origin choice 2)
Asymmetric unit:
Ba  0.2500  0.7500  0.0000
Zr  0.2500  0.2500  0.4633
N  0.2500  0.2500  0.1781
O  0.2500  0.7500  0.5000

***

Record 4
ZrTl2Te3: optimized geometry, PBE.

Output
Crystal system: monoclinic
Energy above the most stable polymorph in this dataset in eV per atom: 0.000

a b c (Å): 8.5020 4.2118 11.4948
angles (deg): 90.00 95.45 90.00
Space group P2_1/m (No. 11)
Asymmetric unit:
Zr  0.0948  0.2500  0.1715
Tl  0.2444  0.7500  0.4976
Tl  0.4322  0.2500  0.8500
Te  0.0612  0.2500  0.7033
Te  0.1951  0.7500  0.0125
Te  0.3855  0.2500  0.3118

***

Record 5
Dy2Mg2Ag3Au: optimized geometry, PBE.

Output
Crystal system: monoclinic

a b c (Å): 4.9156 4.9157 6.9355
angles (deg): 90.00 90.01 90.00
Space group Pm (No. 6)
Asymmetric unit:
Dy  0.0000  0.0000  0.0000
Dy  0.4919  0.5000  0.5095
Mg  0.4939  0.5000  0.0034
Mg  0.9985  0.0000  0.5061
Ag  0.5012  0.0000  0.2547
Ag  0.5014  0.0000  0.7548
Ag  0.9910  0.5000  0.2548
Au  0.9913  0.5000  0.7547

***

Record 6
InAgPbS3: optimized geometry, PBE.

Output
Crystal system: orthorhombic
Energy above the most stable polymorph in this dataset in eV per atom: 0.000

a b c (Å): 3.8907 14.1963 10.5566
angles (deg): 90.00 90.00 90.00
Space group Cmcm (No. 63)
Asymmetric unit:
In  0.0000  0.0000  0.0000
Ag  0.0000  0.3641  0.2500
Pb  0.0000  0.3170  0.7500
S  0.0000  0.0465  0.2500
S  0.0000  0.3746  0.0231

***

Record 7
Tb3GaFeS7: optimized geometry, PBE.

Output
Crystal system: hexagonal

a b c (Å): 9.6485 9.6485 6.1592
angles (deg): 90.00 90.00 120.00
Space group P6_3 (No. 173)
Asymmetric unit:
Tb  0.1534  0.3766  0.0000
Ga  0.3333  0.6667  0.4264
Fe  0.0000  0.0000  0.3210
S  0.0877  0.5691  0.2680
S  0.1013  0.2369  0.5880
S  0.3333  0.6667  0.7932

***

Record 8
Sm2TmP3: optimized geometry, PBE.

Output
Crystal system: trigonal

a b c (Å): 4.0548 4.0548 9.9186
angles (deg): 90.00 90.00 120.00
Space group P-3m1 (No. 164)
Asymmetric unit:
Sm  0.3333  0.6667  0.3293
Tm  0.0000  0.0000  0.0000
P  0.0000  0.0000  0.5000
P  0.3333  0.6667  0.8418

***

Record 9
K2ZrIrO6: optimized geometry, PBE.

Output
Crystal system: cubic

a b c (Å): 8.0241 8.0241 8.0241
angles (deg): 90.00 90.00 90.00
Space group Fm-3m (No. 225)
Asymmetric unit:
K  0.2500  0.2500  0.2500
Zr  0.0000  0.0000  0.0000
Ir  0.0000  0.0000  0.5000
O  0.0000  0.0000  0.2596

***

Record 10
SrTlPt: optimized geometry, PBE.

Output
Crystal system: cubic

a b c (Å): 7.0222 7.0222 7.0222
angles (deg): 90.00 90.00 90.00
Space group F-43m (No. 216)
Asymmetric unit:
Sr  0.0000  0.0000  0.0000
Tl  0.0000  0.0000  0.5000
Pt  0.2500  0.2500  0.2500

***

Record 11
PrCuAu: optimized geometry, PBE.

Output
Calculated formation energy in meV/atom: -345
Crystal system: cubic
Energy above the most stable polymorph in this dataset in eV per atom: 0.189

a b c (Å): 6.5853 6.5853 6.5853
angles (deg): 90.00 90.00 90.00
Space group F-43m (No. 216)
Asymmetric unit:
Pr  0.0000  0.0000  0.0000
Cu  0.2500  0.2500  0.7500
Au  0.0000  0.0000  0.5000

***

Record 12
Cs2RbTaTe4: optimized geometry, PBE.

Output
Crystal system: tetragonal

a b c (Å): 9.3006 9.3006 8.9083
angles (deg): 90.00 90.00 90.00
Space group I-42m (No. 121)
Asymmetric unit:
Cs  0.0000  0.5000  0.0000
Rb  0.0000  0.0000  0.0000
Ta  0.0000  0.0000  0.5000
Te  0.1640  0.1640  0.3292

***

VASP energy (computed, eV/atom): -5.7678 -3.7664 -7.4256 -4.3883 -3.4401 -3.9988 -5.9815 -6.5998 -6.7378 -3.8806 -4.2646 -4.1935